Entry 1:
Here is an optimized crystal structure of VRu3N from the Alexandria database. Energies are from PBE.

Raw formation energy ... 128 meV per atom
Symmetry ... Pm-3m
Crystal system ... cubic

Structure (POSCAR):
```
VRu3N
1.0
4.007 0.000 0.000
0.000 4.007 0.000
0.000 0.000 4.007
V Ru N
1 3 1
Direct
0.000 0.000 0.000 V
0.000 0.500 0.500 Ru
0.500 0.000 0.500 Ru
0.500 0.500 0.000 Ru
0.500 0.500 0.500 N
```

***

Entry 2:
Here is an optimized crystal structure of V4Ru2N from the Alexandria database. Energies are from PBE.

Raw formation energy ... -207 meV per atom
Symmetry ... I4/mmm
Crystal system ... tetragonal

Structure (POSCAR):
```
V4Ru2N
1.0
-1.933 1.933 6.222
1.933 -1.933 6.222
1.933 1.933 -6.222
V Ru N
4 2 1
Direct
0.000 0.500 0.500 V
0.170 0.170 0.000 V
0.500 0.000 0.500 V
0.830 0.830 0.000 V
0.351 0.351 0.000 Ru
0.649 0.649 0.000 Ru
0.000 0.000 0.000 N
```